1.
{
  "formula": "P3Ir",
  "functional": "PBE",
  "state": "relaxed",
  "cell": [[4.714, 0.000, 0.000], [0.000, 6.892, 0.000], [0.000, 0.000, 3.836]],
  "species": ["P", "P", "P", "P", "P", "P", "Ir", "Ir"],
  "fractional_positions": [[0.250, 0.030, 0.053], [0.250, 0.470, 0.053], [0.250, 0.750, 0.356], [0.750, 0.250, 0.644], [0.750, 0.530, 0.947], [0.750, 0.970, 0.947], [0.250, 0.250, 0.516], [0.750, 0.750, 0.484]],
  "dft_energy_ev_per_atom": -6.45,
  "spacegroup": "No. 59",
  "density_kg_m3": 7598,
  "m_tot_mub_per_fu": 0.00,
  "e_above_lowest_polymorph_ev_per_atom": 0.466,
  "dos_ef_per_ev_cell": 2.7
}


2.
{
  "formula": "P2Ir",
  "functional": "PBE",
  "state": "relaxed",
  "cell": [[3.328, 0.000, 0.000], [-1.664, 2.882, 0.000], [0.000, 0.000, 4.761]],
  "species": ["P", "P", "Ir"],
  "fractional_positions": [[0.333, 0.667, 0.192], [0.667, 0.333, 0.808], [0.000, 0.000, 0.500]],
  "dft_energy_ev_per_atom": -6.63,
  "spacegroup": "No. 164",
  "density_kg_m3": 9241,
  "m_tot_mub_per_fu": 0.00,
  "dos_ef_per_ev_cell": 1.7
}